Record 1
# Er2TaCrN5 GGA-PBE relaxed
data_Er2TaCrN5
_symmetry_space_group_name_H-M 'C m c 21'
_symmetry_Int_Tables_number 36
_cell_length_a 3.2048
_cell_length_b 13.0888
_cell_length_c 9.9546
_cell_angle_alpha 90.00
_cell_angle_beta 90.00
_cell_angle_gamma 90.00
loop_
_symmetry_equiv_pos_as_xyz
'x,y,z'
'-x,-y,z+1/2'
'-x,y,z'
'x,-y,z+1/2'
'x+1/2,y+1/2,z'
'-x+1/2,-y+1/2,z+1/2'
'-x+1/2,y+1/2,z'
'x+1/2,-y+1/2,z+1/2'
loop_
_atom_site_label
_atom_site_type_symbol
_atom_site_fract_x
_atom_site_fract_y
_atom_site_fract_z
_atom_site_occupancy
Er1 Er 0.0000 0.1105 0.0000 1
Er2 Er 0.0000 0.1406 0.6084 1
Ta1 Ta 0.0000 0.2151 0.3183 1
Cr1 Cr 0.0000 0.4759 0.7655 1
N1 N 0.0000 0.0426 0.3490 1
N2 N 0.0000 0.2861 0.9609 1
N3 N 0.0000 0.3185 0.6812 1
N4 N 0.0000 0.3660 0.3070 1
N5 N 0.0000 0.4917 0.0921 1
# - ΔE_f (raw) (kJ per mole of atoms) = -116
# - E_tot (eV per atom) = -9.2312
# - DOS at the Fermi energy (states/eV per cell) = 9.981

Record 2
# Er2VCrN5 GGA-PBE relaxed
data_Er2VCrN5
_symmetry_space_group_name_H-M 'C m c 21'
_symmetry_Int_Tables_number 36
_cell_length_a 3.2061
_cell_length_b 13.2342
_cell_length_c 9.8026
_cell_angle_alpha 90.00
_cell_angle_beta 90.00
_cell_angle_gamma 90.00
loop_
_symmetry_equiv_pos_as_xyz
'x,y,z'
'-x,-y,z+1/2'
'-x,y,z'
'x,-y,z+1/2'
'x+1/2,y+1/2,z'
'-x+1/2,-y+1/2,z+1/2'
'-x+1/2,y+1/2,z'
'x+1/2,-y+1/2,z+1/2'
loop_
_atom_site_label
_atom_site_type_symbol
_atom_site_fract_x
_atom_site_fract_y
_atom_site_fract_z
_atom_site_occupancy
Er1 Er 0.0000 0.1116 0.0000 1
Er2 Er 0.0000 0.1377 0.6458 1
V1 V 0.0000 0.4421 0.7694 1
Cr1 Cr 0.0000 0.2134 0.3653 1
N1 N 0.0000 0.0460 0.3629 1
N2 N 0.0000 0.2897 0.9831 1
N3 N 0.0000 0.3132 0.7104 1
N4 N 0.0000 0.3529 0.3349 1
N5 N 0.0000 0.4952 0.1106 1
# - ΔE_f (raw) (kJ per mole of atoms) = -106
# - E_tot (eV per atom) = -8.8193
# - DOS at the Fermi energy (states/eV per cell) = 2.220

- Among the records above, which one has the highest ΔE_f (raw)?
  Er2VCrN5

- What is the DOS at the Fermi energy in the second record?
  2.220 states/eV per cell

- Among the records above, which one has the lowest E_tot?
  Er2TaCrN5